{
  "formula": "MnBeGe2O6",
  "functional": "GGA+U",
  "state": "relaxed",
  "final_energy_ev_per_atom": -6.893,
  "lattice_angstrom": [[5.436, 0.069, 0.072], [1.825, 6.663, -0.037], [1.825, -0.284, 6.657]],
  "species": ["Be", "Be", "Ge", "Ge", "Ge", "Ge", "O", "O", "O", "O", "O", "O", "O", "O", "O", "O", "O", "O", "Mn", "Mn"],
  "frac_coords": [[0.250, 0.194, 0.806], [0.750, 0.806, 0.194], [0.681, 0.220, 0.398], [0.181, 0.398, 0.220], [0.319, 0.780, 0.602], [0.819, 0.602, 0.780], [0.955, 0.356, 0.840], [0.455, 0.840, 0.356], [0.825, 0.024, 0.203], [0.545, 0.160, 0.644], [0.041, 0.697, 0.589], [0.459, 0.411, 0.303], [0.541, 0.589, 0.697], [0.959, 0.303, 0.411], [0.175, 0.976, 0.797], [0.325, 0.203, 0.024], [0.045, 0.644, 0.160], [0.675, 0.797, 0.976], [0.250, 0.884, 0.116], [0.750, 0.116, 0.884]]
}